Record 1
VASP calculation (PBE-GGA) on a relaxed La2Zn3AgAu4 crystal.

Lattice parameters (Å, degrees): 4.3422 4.3422 11.4828 90.00 90.00 90.00
Positions (direct):
La: 0.0000 0.5000 0.2491
La: 0.5000 0.0000 0.7509
Zn: 0.0000 0.5000 0.8719
Zn: 0.5000 0.0000 0.1281
Zn: 0.5000 0.5000 0.5000
Ag: 0.0000 0.0000 0.5000
Au: 0.0000 0.0000 0.0000
Au: 0.0000 0.5000 0.6494
Au: 0.5000 0.0000 0.3506
Au: 0.5000 0.5000 0.0000

Results
The energy is -3.46 eV/atom.

Record 2
VASP calculation (PBE-GGA) on a relaxed LaZn2Ag2Au crystal.

Lattice parameters (Å, degrees): 4.8812 4.8812 5.8531 90.00 90.00 90.00
Positions (direct):
La: 0.0000 0.0000 0.0000
Zn: 0.0000 0.5000 0.5000
Zn: 0.5000 0.0000 0.5000
Ag: 0.5000 0.5000 0.2360
Ag: 0.5000 0.5000 0.7640
Au: 0.0000 0.0000 0.5000

Results
The energy is -2.85 eV/atom.

Record 3
VASP calculation (PBE-GGA) on a relaxed LiAg2Au2 crystal.

Lattice parameters (Å, degrees): 7.3287 7.3287 2.8477 90.00 90.00 145.02
Positions (direct):
Li: 0.0000 0.0000 0.0000
Ag: 0.1915 0.8085 0.0000
Ag: 0.8085 0.1915 0.0000
Au: 0.3983 0.6017 0.5000
Au: 0.6017 0.3983 0.5000

Results
The energy is -3.01 eV/atom. For the energy above the most stable polymorph in this dataset, the calculation gives 0.0000 eV per atom.

Record 4
VASP calculation (PBE-GGA) on a relaxed Li8AgAu2 crystal.

Lattice parameters (Å, degrees): 7.2557 7.2557 6.6349 111.73 111.73 34.05
Positions (direct):
Li: 0.0380 0.0380 0.2330
Li: 0.1513 0.1513 0.7079
Li: 0.3224 0.3224 0.5946
Li: 0.3890 0.3890 0.0485
Li: 0.6110 0.6110 0.9515
Li: 0.6776 0.6776 0.4054
Li: 0.8487 0.8487 0.2921
Li: 0.9620 0.9620 0.7670
Ag: 0.5000 0.5000 0.5000
Au: 0.2138 0.2138 0.1614
Au: 0.7862 0.7862 0.8386

Results
The energy is -2.56 eV/atom. For the energy above the most stable polymorph in this dataset, the calculation gives 0.0000 eV per atom.

Record 5
VASP calculation (PBE-GGA) on a relaxed Li7AgAu2 crystal.

Lattice parameters (Å, degrees): 4.4660 4.4660 9.8786 90.00 90.00 120.00
Positions (direct):
Li: 0.0000 0.0000 0.0000
Li: 0.0000 0.0000 0.2446
Li: 0.0000 0.0000 0.5020
Li: 0.3333 0.6667 0.0584
Li: 0.3333 0.6667 0.6598
Li: 0.6667 0.3333 0.4226
Li: 0.6667 0.3333 0.8442
Ag: 0.3333 0.6667 0.3414
Au: 0.0000 0.0000 0.7513
Au: 0.6667 0.3333 0.1410

Results
The energy is -2.56 eV/atom.

Record 6
VASP calculation (PBE-GGA) on a relaxed LiAgAu crystal.

Lattice parameters (Å, degrees): 4.5294 4.5294 5.5993 90.00 90.00 120.00
Positions (direct):
Li: 0.3333 0.6667 0.2500
Li: 0.6667 0.3333 0.7500
Ag: 0.0000 0.0000 0.0000
Ag: 0.0000 0.0000 0.5000
Au: 0.3333 0.6667 0.7500
Au: 0.6667 0.3333 0.2500

Results
The energy is -3.00 eV/atom. For the energy above the most stable polymorph in this dataset, the calculation gives 0.0000 eV per atom.

Record 7
VASP calculation (PBE-GGA) on a relaxed Li8Ag2Au crystal.

Lattice parameters (Å, degrees): 7.4961 7.4961 6.2335 103.53 103.53 32.17
Positions (direct):
Li: 0.0404 0.0404 0.2451
Li: 0.1418 0.1418 0.6845
Li: 0.3239 0.3239 0.5914
Li: 0.4019 0.4019 0.0559
Li: 0.5981 0.5981 0.9441
Li: 0.6761 0.6761 0.4086
Li: 0.8582 0.8582 0.3155
Li: 0.9596 0.9596 0.7549
Ag: 0.2204 0.2204 0.1431
Ag: 0.7796 0.7796 0.8569
Au: 0.5000 0.5000 0.5000

Results
The energy is -2.45 eV/atom. For the energy above the most stable polymorph in this dataset, the calculation gives 0.0000 eV per atom.

Record 8
VASP calculation (PBE-GGA) on a relaxed Li6Ag2Au crystal.

Lattice parameters (Å, degrees): 7.5007 7.5007 4.8317 98.86 98.86 142.47
Positions (direct):
Li: 0.0139 0.3379 0.3359
Li: 0.1880 0.1880 0.8424
Li: 0.3379 0.0139 0.3359
Li: 0.6621 0.9861 0.6641
Li: 0.8120 0.8120 0.1576
Li: 0.9861 0.6621 0.6641
Ag: 0.3249 0.6751 0.0000
Ag: 0.6751 0.3249 0.0000
Au: 0.5000 0.5000 0.5000

Results
The energy is -2.54 eV/atom. For the energy above the most stable polymorph in this dataset, the calculation gives 0.0000 eV per atom.

Record 9
VASP calculation (PBE-GGA) on a relaxed LiAg6Au3 crystal.

Lattice parameters (Å, degrees): 7.7709 4.7929 10.0486 90.00 109.65 90.00
Positions (direct):
Li: 0.2032 0.2500 0.4650
Li: 0.7968 0.7500 0.5350
Ag: 0.0050 0.2500 0.6628
Ag: 0.1969 0.7500 0.6299
Ag: 0.1984 0.7500 0.1341
Ag: 0.2006 0.2500 0.9654
Ag: 0.3963 0.7500 0.4336
Ag: 0.3967 0.7500 0.9312
Ag: 0.6033 0.2500 0.0688
Ag: 0.6037 0.2500 0.5664
Ag: 0.7994 0.7500 0.0346
Ag: 0.8016 0.2500 0.8659
Ag: 0.8031 0.2500 0.3701
Ag: 0.9950 0.7500 0.3372
Au: 0.0056 0.2500 0.1728
Au: 0.4002 0.2500 0.2718
Au: 0.4017 0.2500 0.7636
Au: 0.5983 0.7500 0.2364
Au: 0.5998 0.7500 0.7282
Au: 0.9944 0.7500 0.8272

Results
The energy is -2.99 eV/atom.

Record 10
VASP calculation (PBE-GGA) on a relaxed LiAg3Au2 crystal.

Lattice parameters (Å, degrees): 5.4034 5.4034 7.2764 97.26 97.26 95.52
Positions (direct):
Li: 0.0829 0.9171 0.7500
Li: 0.9171 0.0829 0.2500
Ag: 0.1602 0.3179 0.9974
Ag: 0.3179 0.1602 0.4974
Ag: 0.4070 0.5930 0.7500
Ag: 0.5930 0.4070 0.2500
Ag: 0.6821 0.8398 0.5026
Ag: 0.8398 0.6821 0.0026
Au: 0.1223 0.6309 0.3760
Au: 0.3691 0.8777 0.1240
Au: 0.6309 0.1223 0.8760
Au: 0.8777 0.3691 0.6240

Results
The energy is -2.97 eV/atom. For the energy above the most stable polymorph in this dataset, the calculation gives 0.0088 eV per atom.

Record 11
VASP calculation (PBE-GGA) on a relaxed LiAg3Au crystal.

Lattice parameters (Å, degrees): 4.7694 7.5065 5.2036 90.00 93.29 90.00
Positions (direct):
Li: 0.1801 0.2500 0.0090
Li: 0.8199 0.7500 0.9910
Ag: 0.3246 0.7500 0.2301
Ag: 0.3436 0.5653 0.7441
Ag: 0.3436 0.9347 0.7441
Ag: 0.6564 0.0653 0.2559
Ag: 0.6564 0.4347 0.2559
Ag: 0.6754 0.2500 0.7699
Au: 0.1495 0.2500 0.4881
Au: 0.8505 0.7500 0.5119

Results
The energy is -2.81 eV/atom. For the energy above the most stable polymorph in this dataset, the calculation gives 0.0991 eV per atom.

Record 12
VASP calculation (PBE-GGA) on a relaxed Li2Ag3Au5 crystal.

Lattice parameters (Å, degrees): 8.8884 8.8884 8.8884 105.14 85.48 144.84
Positions (direct):
Li: 0.1686 0.2504 0.4190
Li: 0.3314 0.7504 0.0819
Li: 0.6686 0.2496 0.9181
Li: 0.8314 0.7496 0.5810
Ag: 0.1849 0.9216 0.1064
Ag: 0.2500 0.2500 0.0000
Ag: 0.3151 0.4216 0.7367
Ag: 0.6849 0.5784 0.2633
Ag: 0.7500 0.7500 0.0000
Ag: 0.8151 0.0784 0.8936
Au: 0.1713 0.6186 0.7899
Au: 0.2500 0.0032 0.7532
Au: 0.2500 0.4968 0.2468
Au: 0.2500 0.7500 0.5000
Au: 0.3287 0.1186 0.4473
Au: 0.6713 0.8814 0.5527
Au: 0.7500 0.2500 0.5000
Au: 0.7500 0.5032 0.7532
Au: 0.7500 0.9968 0.2468
Au: 0.8287 0.3814 0.2101

Results
The energy is -2.93 eV/atom.

Record 13
VASP calculation (PBE-GGA) on a relaxed LiAg2Au crystal.

Lattice parameters (Å, degrees): 5.0319 5.0319 5.0319 132.51 132.27 69.62
Positions (direct):
Li: 0.0000 0.0000 0.0000
Ag: 0.2496 0.7496 0.5000
Ag: 0.7504 0.2504 0.5000
Au: 0.5000 0.5000 0.0000

Results
The energy is -2.96 eV/atom.

Record 14
VASP calculation (PBE-GGA) on a relaxed LiAg3Au crystal.

Lattice parameters (Å, degrees): 5.1968 5.1968 5.1968 90.00 90.00 90.00
Positions (direct):
Li: 0.0000 0.0000 0.0000
Ag: 0.0000 0.5000 0.5000
Ag: 0.5000 0.0000 0.5000
Ag: 0.5000 0.5000 0.0000
Au: 0.5000 0.5000 0.5000

Results
The energy is -2.35 eV/atom. For the energy above the most stable polymorph in this dataset, the calculation gives 0.5586 eV per atom.

Record 15
VASP calculation (PBE-GGA) on a relaxed LiAg6Au2 crystal.

Lattice parameters (Å, degrees): 8.0257 8.0257 3.1041 95.16 95.16 125.86
Positions (direct):
Li: 0.0000 0.0000 0.0000
Ag: 0.1680 0.5004 0.1765
Ag: 0.3254 0.3254 0.6696
Ag: 0.5004 0.1680 0.1765
Ag: 0.4996 0.8320 0.8235
Ag: 0.6746 0.6746 0.3304
Ag: 0.8320 0.4996 0.8235
Au: 0.1525 0.8475 0.5000
Au: 0.8475 0.1525 0.5000

Results
The energy is -2.91 eV/atom. For the energy above the most stable polymorph in this dataset, the calculation gives 0.0501 eV per atom.

Record 16
VASP calculation (PBE-GGA) on a relaxed LiAg6Au12 crystal.

Lattice parameters (Å, degrees): 7.7481 7.7481 7.7481 110.86 110.86 110.86
Positions (direct):
Li: 0.0000 0.0000 0.0000
Ag: 0.2125 0.3175 0.4740
Ag: 0.3175 0.4740 0.2125
Ag: 0.4740 0.2125 0.3175
Ag: 0.5260 0.7875 0.6825
Ag: 0.6825 0.5260 0.7875
Ag: 0.7875 0.6825 0.5260
Au: 0.0460 0.5720 0.3613
Au: 0.1051 0.1562 0.7428
Au: 0.1562 0.7428 0.1051
Au: 0.2572 0.8949 0.8438
Au: 0.3613 0.0460 0.5720
Au: 0.4280 0.6387 0.9540
Au: 0.5720 0.3613 0.0460
Au: 0.6387 0.9540 0.4280
Au: 0.7428 0.1051 0.1562
Au: 0.8438 0.2572 0.8949
Au: 0.8949 0.8438 0.2572
Au: 0.9540 0.4280 0.6387

Results
The energy is -3.15 eV/atom. For the energy above the most stable polymorph in this dataset, the calculation gives 0.0000 eV per atom.

Record 17
VASP calculation (PBE-GGA) on a relaxed LiAg5Au12 crystal.

Lattice parameters (Å, degrees): 5.0699 5.0699 14.5087 93.58 93.58 119.99
Positions (direct):
Li: 0.0000 0.0000 0.0000
Ag: 0.1669 0.8331 0.5000
Ag: 0.3333 0.6667 0.0000
Ag: 0.5000 0.5000 0.5000
Ag: 0.6667 0.3333 0.0000
Ag: 0.8331 0.1669 0.5000
Au: 0.0543 0.7245 0.1613
Au: 0.1096 0.4419 0.3338
Au: 0.2232 0.2232 0.6661
Au: 0.2755 0.9457 0.8387
Au: 0.3841 0.3841 0.1610
Au: 0.4419 0.1096 0.3338
Au: 0.5581 0.8904 0.6662
Au: 0.6159 0.6159 0.8390
Au: 0.7245 0.0543 0.1613
Au: 0.7768 0.7768 0.3339
Au: 0.8904 0.5581 0.6662
Au: 0.9457 0.2755 0.8387

Results
The energy is -3.16 eV/atom.

Record 18
VASP calculation (PBE-GGA) on a relaxed Li6Ag10Au crystal.

Lattice parameters (Å, degrees): 7.6739 7.6739 5.6128 90.00 90.00 120.00
Positions (direct):
Li: 0.0000 0.3552 0.3154
Li: 0.0000 0.6448 0.6846
Li: 0.3552 0.0000 0.3154
Li: 0.3552 0.3552 0.6846
Li: 0.6448 0.0000 0.6846
Li: 0.6448 0.6448 0.3154
Ag: 0.0000 0.2962 0.8214
Ag: 0.0000 0.7038 0.1786
Ag: 0.2962 0.0000 0.8214
Ag: 0.2962 0.2962 0.1786
Ag: 0.3333 0.6667 0.0000
Ag: 0.3333 0.6667 0.5000
Ag: 0.6667 0.3333 0.0000
Ag: 0.6667 0.3333 0.5000
Ag: 0.7038 0.0000 0.1786
Ag: 0.7038 0.7038 0.8214
Au: 0.0000 0.0000 0.5000

Results
The energy is -2.70 eV/atom.

Record 19
VASP calculation (PBE-GGA) on a relaxed Li8Ag3Au2 crystal.

Lattice parameters (Å, degrees): 7.7038 7.7038 4.6556 90.00 90.00 123.56
Positions (direct):
Li: 0.1117 0.8883 0.0000
Li: 0.1885 0.4178 0.5000
Li: 0.3160 0.6840 0.0000
Li: 0.4178 0.1885 0.5000
Li: 0.5822 0.8115 0.5000
Li: 0.6840 0.3160 0.0000
Li: 0.8115 0.5822 0.5000
Li: 0.8883 0.1117 0.0000
Ag: 0.0000 0.0000 0.5000
Ag: 0.3099 0.3099 0.0000
Ag: 0.6901 0.6901 0.0000
Au: 0.2186 0.7814 0.5000
Au: 0.7814 0.2186 0.5000

Results
The energy is -2.59 eV/atom. For the energy above the most stable polymorph in this dataset, the calculation gives 0.0000 eV per atom.

Record 20
VASP calculation (PBE-GGA) on a relaxed LiAg7Au3 crystal.

Lattice parameters (Å, degrees): 7.0060 7.0060 4.8772 109.65 109.65 89.97
Positions (direct):
Li: 0.0000 0.0000 0.0000
Ag: 0.0000 0.0000 0.5000
Ag: 0.0917 0.5647 0.8277
Ag: 0.3076 0.3076 0.3169
Ag: 0.4353 0.9083 0.1723
Ag: 0.5647 0.0917 0.8277
Ag: 0.6924 0.6924 0.6831
Ag: 0.9083 0.4353 0.1723
Au: 0.2717 0.7283 0.5000
Au: 0.5000 0.5000 0.0000
Au: 0.7283 0.2717 0.5000

Results
The energy is -2.80 eV/atom.

Record 21
VASP calculation (PBE-GGA) on a relaxed LiAg2Au crystal.

Lattice parameters (Å, degrees): 3.2249 3.2249 6.4682 90.00 90.00 90.00
Positions (direct):
Li: 0.0000 0.0000 0.0000
Ag: 0.0000 0.0000 0.5092
Ag: 0.5000 0.5000 0.2403
Au: 0.5000 0.5000 0.7874

Results
The energy is -2.92 eV/atom.